(1)
3
Lattice="4.0800 -1.9323 0.0009 2.7069 0.4436 3.5856 0.8153 -3.5509 2.6659" Properties=species:S:1:pos:R:3 comment="HoMgNi (PBE-GGA, relaxed)" m_tot_mub_per_cell=0.0 volume_a3_per_cell=65.1 final_energy_ev_per_cell=-12.20 pbc="T T T"
Ho 1.9005 -1.2599 1.5631
Ni 0.0000 0.0000 0.0000
Mg 5.7016 -3.7797 4.6893



(2)
9
Lattice="-5.4092 -1.5878 -5.1772 2.0149 -5.2725 5.1697 -2.8974 1.4307 2.5885" Properties=species:S:1:pos:R:3 comment="La3Mg3Ir2Au (PBE-GGA, relaxed)" m_tot_mub_per_cell=0.0 volume_a3_per_cell=210.1 final_energy_ev_per_cell=-46.33 pbc="T T T"
Mg 0.0703 -3.2595 5.1915
Ir -1.9085 -3.3289 3.0149
La -1.9568 -3.9549 -0.0044
La 0.8533 -2.2329 2.1894
Ir -4.3832 -2.1006 -0.4340
La -2.2908 -0.6724 -2.1926
Mg -2.2841 -0.9731 1.2924
Au 0.0000 0.0000 0.0000
Mg -5.5266 -0.4816 -2.6088



(3)
8
Lattice="6.0318 0.0000 0.0000 0.0000 6.0318 0.0000 0.0000 0.0000 6.0318" Properties=species:S:1:pos:R:3 comment="TbTh4W3 (PBE-GGA, relaxed)" m_tot_mub_per_cell=0.0 volume_a3_per_cell=219.4 final_energy_ev_per_cell=-62.70 delta_e_f_ev_per_atom=1.308 pbc="T T T"
Th 3.0159 3.0159 3.0159
W 3.0159 3.0159 0.0000
Th 0.0000 0.0000 3.0159
W 0.0000 3.0159 3.0159
Th 0.0000 3.0159 0.0000
W 3.0159 0.0000 3.0159
Tb 0.0000 0.0000 0.0000
Th 3.0159 0.0000 0.0000